Entry 1:
DFT (PBE-GGA) results for crystalline ZrIn at its relaxed geometry.

```
ZrIn
1.0
1.659 5.793 0.026
-1.659 5.793 0.026
0.000 2.232 7.162
In Zr
3 3
Direct
0.664 0.664 0.688
0.613 0.613 0.260
0.992 0.992 0.011
0.952 0.952 0.591
0.291 0.291 0.928
0.320 0.320 0.356
```

Values from the calculation:
SG = No. 8
Energy relative to the elements = -186 meV per atom
ρ = 7.46 Mg/m³
Fermi-level density of states = 3.885 states/eV per cell

***

Entry 2:
DFT (PBE-GGA) results for crystalline LiPrHo2 at its relaxed geometry.

```
LiPrHo2
1.0
3.670 0.000 0.000
0.000 3.670 0.000
0.000 0.000 8.735
Pr Li Ho
1 1 2
Direct
0.500 0.500 0.500
0.500 0.500 0.000
0.000 0.000 0.214
0.000 0.000 0.786
```

Values from the calculation:
SG = No. 123
Energy relative to the elements = 80 meV per atom
ρ = 6.74 Mg/m³
Polymorph energy (0 for the lowest one) = 0.000 eV/atom
Fermi-level density of states = 5.625 states/eV per cell

***

What did the second record say?
DFT (PBE-GGA) results for crystalline LiPrHo2 at its relaxed geometry.

```
LiPrHo2
1.0
3.670 0.000 0.000
0.000 3.670 0.000
0.000 0.000 8.735
Pr Li Ho
1 1 2
Direct
0.500 0.500 0.500
0.500 0.500 0.000
0.000 0.000 0.214
0.000 0.000 0.786
```

Values from the calculation:
SG = No. 123
Energy relative to the elements = 80 meV per atom
ρ = 6.74 Mg/m³
Polymorph energy (0 for the lowest one) = 0.000 eV/atom
Fermi-level density of states = 5.625 states/eV per cell

***

Please write out number 1 again, unchanged.
DFT (PBE-GGA) results for crystalline ZrIn at its relaxed geometry.

```
ZrIn
1.0
1.659 5.793 0.026
-1.659 5.793 0.026
0.000 2.232 7.162
In Zr
3 3
Direct
0.664 0.664 0.688
0.613 0.613 0.260
0.992 0.992 0.011
0.952 0.952 0.591
0.291 0.291 0.928
0.320 0.320 0.356
```

Values from the calculation:
SG = No. 8
Energy relative to the elements = -186 meV per atom
ρ = 7.46 Mg/m³
Fermi-level density of states = 3.885 states/eV per cell

***

Question: The lowest ρ belongs to which entry?
Answer: LiPrHo2